A relaxed structure of SmU2OsC4. Source: the Alexandria database, functional PBE.

Computed properties:
- Final energy: -151.6 eV for the cell shown
- Symmetry: Cmcm (63)
- Calculated formation energy: -0.05 eV per atom

Structure (POSCAR):
```
SmU2OsC4
1.0
3.544 0.000 0.000
-1.772 5.814 0.000
0.000 0.000 11.803
Sm U Os C
2 4 2 8
Direct
0.106 0.212 0.750
0.894 0.788 0.250
0.370 0.740 0.547
0.630 0.260 0.047
0.630 0.260 0.453
0.370 0.740 0.953
0.845 0.689 0.750
0.155 0.311 0.250
0.258 0.516 0.115
0.742 0.484 0.615
0.742 0.484 0.885
0.258 0.516 0.385
0.000 0.000 0.500
0.000 0.000 0.000
0.438 0.877 0.750
0.562 0.123 0.250
```